No. 1
Here is a geometry-optimized Nd2Si3Mo2 structure from OQMD via LeMat-Bulk. Energies are from PBE-GGA.

Output
Mass density (g cm⁻³): 6.035
DFT total energy (Ry/atom): -0.511

```
7
Lattice="6.882 -1.894 0.000 6.882 1.894 0.000 -2.528 0.000 5.958" Properties=species:S:1:pos:R:3 pbc="T T T"
Mo 1.274 0.000 2.035
Mo 9.962 0.000 3.923
Nd 4.953 0.000 1.273
Nd 6.282 0.000 4.685
Si 0.000 0.000 0.000
Si 9.599 0.000 1.492
Si 1.636 0.000 4.467
```

=====

No. 2
Here is a geometry-optimized NdSmMo structure from OQMD via LeMat-Bulk. Energies are from PBE-GGA.

Output
Formation energy (eV per atom): 1.2400
E above lowest polymorph (eV per atom): 0.000
Mass density (g cm⁻³): 7.491
DFT total energy (Ry/atom): -0.407

```
3
Lattice="0.000 3.511 3.511 3.511 0.000 3.511 3.511 3.511 0.000" Properties=species:S:1:pos:R:3 pbc="T T T"
Mo 1.756 1.756 1.756
Nd 5.267 5.267 5.267
Sm 0.000 0.000 0.000
```

=====

Question: Number 2 is which compound?
Answer: NdSmMo